A plane-wave DFT calculation with PBE-GGA was carried out for a geometry-optimized La3InIr structure.

a = 5.8486 Å, b = 6.9708 Å, c = 9.2723 Å
α = 109.70°, β = 90.06°, γ = 114.64°
Closest atoms and distances in Å follow each position.
Element x y z (fractional)
Ir (0.8694, 0.7376, 0.0690)  6 La 2.82-2.93
Ir (0.1306, 0.2624, 0.9310)  6 La 2.82-2.93
La (0.6251, 0.2512, 0.9085)  3 Ir 2.88-2.93
La (0.3749, 0.7488, 0.0915)  3 Ir 2.88-2.93
La (0.8932, 0.7856, 0.7722)  2 Ir 2.83-2.88
La (0.1068, 0.2144, 0.2278)  2 Ir 2.83-2.88
La (0.8419, 0.6847, 0.3581)  1 Ir 2.82
La (0.1581, 0.3153, 0.6419)  1 Ir 2.82
In (0.3963, 0.7938, 0.5468)  1 In 3.04, 2 La 3.34-3.35
In (0.6037, 0.2062, 0.4532)  1 In 3.04, 2 La 3.34-3.35

Properties
- M_tot (μB/f.u.) = 0.0
- E_tot (eV per atom) = -5.83

---

A plane-wave DFT calculation with PBE-GGA was carried out for a geometry-optimized LaInIr2 structure.

a = 5.6329 Å, b = 5.6329 Å, c = 5.6329 Å
α = 137.57°, β = 137.57°, γ = 61.57°
Closest atoms and distances in Å follow each position.
Element x y z (fractional)
La (0.5000, 0.5000, 0.0000)  8 Ir 2.88-3.16, 4 In 3.16
Ir (0.2500, 0.7500, 0.5000)  4 In 2.88, 4 La 3.16, 4 Ir 3.16
Ir (0.0000, 0.0000, 0.0000)  4 La 2.88, 4 Ir 3.16, 4 In 3.16
In (0.7500, 0.2500, 0.5000)  8 Ir 2.88-3.16, 4 La 3.16

Properties
- M_tot (μB/f.u.) = 0.0
- E_tot (eV per atom) = -6.55

---

A plane-wave DFT calculation with PBE-GGA was carried out for a geometry-optimized LaInIr2 structure.

a = 3.7803 Å, b = 3.2341 Å, c = 7.3414 Å
α = 64.28°, β = 90.00°, γ = 90.00°
Closest atoms and distances in Å follow each position.
Element x y z (fractional)
Ir (0.0000, 0.0357, 0.9661)  1 Ir 2.86, 4 In 2.87, 4 La 3.11-3.13
Ir (0.0000, 0.4643, 0.5339)  1 Ir 2.86, 4 In 2.87, 4 La 3.11-3.13
La (0.5000, 0.2500, 0.2500)  8 Ir 3.11-3.13, 2 La 3.23, 2 In 3.31
In (0.5000, 0.7500, 0.7500)  8 Ir 2.87

Properties
- M_tot (μB/f.u.) = 0.0
- E_tot (eV per atom) = -6.60

---

A plane-wave DFT calculation with PBE-GGA was carried out for a geometry-optimized La3InIr structure.

a = 6.1334 Å, b = 6.5673 Å, c = 8.2197 Å
α = 79.18°, β = 67.56°, γ = 76.67°
Closest atoms and distances in Å follow each position.
Element x y z (fractional)
La (0.1577, 0.8909, 0.1675)  2 Ir 2.90-3.25
La (0.0317, 0.4537, 0.9731)  2 Ir 2.86-2.91
La (0.6354, 0.6905, 0.3894)  2 Ir 2.86-2.91
La (0.5802, 0.1997, 0.6679)  1 Ir 2.82
La (0.0872, 0.9445, 0.6947)  1 Ir 2.82
La (0.5096, 0.2533, 0.1951)  2 Ir 2.90-3.25
Ir (0.7337, 0.8678, 0.0291)  4 La 2.82-2.91, 1 In 2.91
Ir (0.9335, 0.2765, 0.3333)  4 La 2.82-2.91, 1 In 2.91
In (0.5778, 0.6629, 0.8183)  1 Ir 2.91, 1 In 3.20
In (0.0895, 0.4813, 0.5441)  1 Ir 2.91, 1 In 3.20

Properties
- M_tot (μB/f.u.) = 0.0
- E_tot (eV per atom) = -5.80